No. 1
This record from Alexandria describes a crystal of SnN2O2 relaxed with PBEsol. The functional is SCAN.

Lattice parameters (Å, degrees): 3.6823 3.5519 3.5519 90.00 90.00 90.00
Positions (direct):
1 N 0.0000 0.5000 0.0000
2 O 0.5000 0.0000 0.0000
3 Sn 0.5000 0.5000 0.5000
4 O 0.0000 0.0000 0.0000
5 N 0.0000 0.0000 0.5000

Values from the calculation:
The uncorrected formation energy comes out at 1.6869 eV/atom. Its volume is 46.5 Å³/cell.

No. 2
This record from Alexandria describes a crystal of CrIr2Au relaxed with PBEsol. The functional is SCAN.

Lattice parameters (Å, degrees): 2.7053 2.7053 9.0597 81.41 81.41 60.00
Positions (direct):
1 Cr 0.2542 0.2542 0.2373
2 Ir 0.9952 0.9952 0.0143
3 Ir 0.7469 0.7469 0.7592
4 Au 0.5036 0.5036 0.4892

Values from the calculation:
As for the total energy: -57.257 eV per atom. Its volume is 56.6 Å³/cell.